# Cr2CdCl

Cr2CdCl after structural relaxation (PBE, Alexandria via LeMat-Bulk).

Lattice parameters (Å, degrees): 4.970 4.970 8.189 53.44 53.44 36.42
Each line ends with the local moment (μB).
Fractional coordinates of all 4 atoms:
Cr  0.923  0.923  0.934  3.57
Cr  0.577  0.577  0.566  3.57
Cl  0.250  0.250  0.250  0.00
Cd  0.750  0.750  0.750  -0.04

Spin magnetization   7.848 μB/f.u.
Energy relative to the elements, uncorrected   1.4 eV/f.u.
Space-group type   C2/m, No. 12
Energy relative to the lowest polymorph listed for this composition   281 meV/atom
Calculated volume   23.39 Å³ per atom